# 1
MoRh3 | PBE-GGA | optimized geometry

a b c (Å): 4.7442 4.7442 2.7377
angles (deg): 90.00 90.00 109.82
Last column: nearest neighbours and their distance in Å.
Fractional positions:
1 Mo 0.0000 0.0000 0.0000  10 Rh 2.73-2.74, 2 Mo 2.74
2 Rh 0.0000 0.5000 0.5000  8 Rh 2.73-2.74, 4 Mo 2.74
3 Rh 0.5000 0.0000 0.5000  8 Rh 2.73-2.74, 4 Mo 2.74
4 Rh 0.5000 0.5000 0.0000  2 Mo 2.73, 10 Rh 2.74

Results
Size of the total moment = 0.00 μB/f.u.
Energy of formation = -0.110 eV per atom


# 2
Mo3Rh | PBE-GGA | optimized geometry

a b c (Å): 2.8974 4.4840 4.7660
angles (deg): 90.00 90.00 90.00
Last column: nearest neighbours and their distance in Å.
Fractional positions:
1 Mo 0.5000 0.0000 0.4685  8 Mo 2.71-2.90, 4 Rh 2.75-2.83
2 Mo 0.5000 0.5000 0.8533  8 Mo 2.73-2.90, 4 Rh 2.73
3 Mo 0.0000 0.5000 0.3666  10 Mo 2.71-2.90, 2 Rh 2.91
4 Rh 0.0000 0.0000 0.9783  10 Mo 2.73-2.91, 2 Rh 2.90

Results
Size of the total moment = 0.00 μB/f.u.
Energy of formation = 0.098 eV per atom


# 3
Mo4Rh | PBE-GGA | optimized geometry

a b c (Å): 6.2036 6.2036 6.2036
angles (deg): 141.92 141.92 54.96
Last column: nearest neighbours and their distance in Å.
Fractional positions:
1 Mo 0.7500 0.2500 0.5000  4 Mo 2.53
2 Mo 0.3879 0.3879 0.0000  5 Mo 2.47-2.53
3 Mo 0.6121 0.6121 0.0000  5 Mo 2.47-2.53
4 Mo 0.2500 0.7500 0.5000  4 Mo 2.53
5 Rh 0.0000 0.0000 0.0000  16 Mo 3.12-3.42

Results
Size of the total moment = 0.00 μB/f.u.
Energy of formation = 0.920 eV per atom


# 4
Mo3Rh | PBE-GGA | optimized geometry

a b c (Å): 8.4300 8.4300 8.4300
angles (deg): 152.96 152.96 38.62
Last column: nearest neighbours and their distance in Å.
Fractional positions:
1 Mo 0.5000 0.0000 0.5000  8 Mo 2.75-2.79, 4 Rh 2.82
2 Mo 0.1202 0.1202 0.0000  8 Mo 2.75-2.85, 4 Rh 2.79
3 Mo 0.8798 0.8798 0.0000  8 Mo 2.75-2.85, 4 Rh 2.79
4 Mo 0.7500 0.2500 0.5000  4 Rh 2.79, 8 Mo 2.79-2.85
5 Mo 0.2500 0.7500 0.5000  4 Rh 2.79, 8 Mo 2.79-2.85
6 Mo 0.0000 0.5000 0.5000  8 Mo 2.75-2.79, 4 Rh 2.82
7 Rh 0.3737 0.3737 0.0000  12 Mo 2.79-2.82
8 Rh 0.6263 0.6263 0.0000  12 Mo 2.79-2.82

Results
Size of the total moment = 0.00 μB/f.u.
Energy of formation = 0.066 eV per atom